10
Lattice="3.932 2.270 6.534 -3.932 2.270 6.534 0.000 -4.541 6.534" Properties=species:S:1:pos:R:3 comment="CaIn2GeBr6, relaxed, DFT PBE" raw_formation_energy_ev_per_fu=-10.15 rho_g_cm3=3.9 space_group="R3, No. 146" energy_ev_per_cell=-32.28 pbc="T T T"
Ca 0.000 0.000 0.000
In 0.000 0.000 5.673
In 0.000 0.000 15.342
Ge 0.000 0.000 9.822
Br -2.204 0.520 8.054
Br -1.649 -1.731 11.290
Br 0.652 -2.169 8.054
Br -0.675 2.294 11.290
Br 1.552 1.649 8.054
Br 2.324 -0.562 11.290


9
Lattice="-5.157 5.157 2.414 5.157 -5.157 2.414 5.157 5.157 -2.414" Properties=species:S:1:pos:R:3 comment="NdDy4Sc4, relaxed, DFT PBE" rho_g_cm3=6.3 space_group="I4/mmm, No. 139" energy_ev_per_cell=-48.01 ef_ev_per_atom=0.05 pbc="T T T"
Nd 0.000 0.000 0.000
Dy 3.397 0.000 0.000
Dy 6.917 0.000 0.000
Dy 0.000 3.397 0.000
Dy 0.000 6.917 0.000
Sc 3.424 3.424 0.000
Sc 1.733 -1.733 2.414
Sc -1.733 1.733 2.414
Sc 1.733 1.733 2.414


5
Lattice="4.979 0.000 0.000 0.000 4.979 0.000 0.000 0.000 4.933" Properties=species:S:1:pos:R:3 comment="KLiMgS2, relaxed, DFT PBE" raw_formation_energy_ev_per_fu=-2.57 rho_g_cm3=1.8 space_group="P4/mmm, No. 123" energy_ev_per_cell=-15.43 pbc="T T T"
K 0.000 0.000 0.000
Li 2.490 2.490 0.000
Mg 2.490 2.490 2.466
S 0.000 2.490 2.466
S 2.490 0.000 2.466


4
Lattice="3.453 0.000 0.000 0.000 3.453 0.000 0.000 0.000 11.392" Properties=species:S:1:pos:R:3 comment="BaCa2Ta, relaxed, DFT PBE" e_above_lowest_polymorph_mev_per_atom=43 rho_g_cm3=4.9 space_group="P4mm, No. 99" energy_ev_per_cell=-14.99 ef_ev_per_atom=0.70 pbc="T T T"
Ba 0.000 0.000 0.000
Ca 0.000 0.000 6.610
Ca 1.727 1.727 3.469
Ta 1.727 1.727 8.807


5
Lattice="2.242 1.295 5.209 -2.242 1.295 5.209 0.000 -2.589 5.209" Properties=species:S:1:pos:R:3 comment="ScGa2Ag2, relaxed, DFT PBE" e_above_lowest_polymorph_mev_per_atom=0 rho_g_cm3=7.3 space_group="R-3m, No. 166" energy_ev_per_cell=-19.36 ef_ev_per_atom=-0.26 pbc="T T T"
Sc 0.000 0.000 0.000
Ga 0.000 0.000 6.407
Ga 0.000 0.000 9.221
Ag 0.000 0.000 3.292
Ag 0.000 0.000 12.336


8
Lattice="-2.825 2.825 5.868 2.825 -2.825 5.868 2.825 2.825 -5.868" Properties=species:S:1:pos:R:3 comment="YNb2F, relaxed, DFT PBE" raw_formation_energy_ev_per_fu=0.51 e_above_lowest_polymorph_mev_per_atom=0 rho_g_cm3=5.2 space_group="I4_1/amd, No. 141" energy_ev_per_cell=-55.93 pbc="T T T"
Y 2.825 1.412 1.467
Y 0.000 1.412 4.401
Nb 0.000 0.000 0.000
Nb 1.412 1.412 -2.934
Nb 1.412 -1.412 2.934
Nb 0.000 2.825 0.000
F 2.825 -1.412 4.401
F 0.000 4.237 1.467


4
Lattice="3.024 0.000 0.000 0.000 3.024 0.000 0.000 0.000 8.002" Properties=species:S:1:pos:R:3 comment="ZrInTc2, relaxed, DFT PBE" e_above_lowest_polymorph_mev_per_atom=0 rho_g_cm3=9.1 space_group="P4mm, No. 99" energy_ev_per_cell=-32.45 ef_ev_per_atom=-0.11 pbc="T T T"
Zr 0.000 0.000 0.000
In 1.512 1.512 2.455
Tc 0.000 0.000 4.529
Tc 1.512 1.512 5.956


4
Lattice="-2.175 2.175 4.893 2.175 -2.175 4.893 2.175 2.175 -4.893" Properties=species:S:1:pos:R:3 comment="Y2TlCo, relaxed, DFT PBE" rho_g_cm3=7.9 space_group="I-4m2, No. 119" energy_ev_per_cell=-22.21 ef_ev_per_atom=0.05 pbc="T T T"
Y 0.000 0.000 0.000
Y 0.000 2.175 2.446
Tl 0.000 0.000 4.893
Co 2.175 0.000 2.446


5
Lattice="3.651 0.000 0.000 0.000 3.651 0.000 0.000 0.000 6.659" Properties=species:S:1:pos:R:3 comment="PPtRhO2, relaxed, DFT PBE" raw_formation_energy_ev_per_fu=1.84 e_above_lowest_polymorph_mev_per_atom=310 rho_g_cm3=6.8 space_group="P4/mmm, No. 123" energy_ev_per_cell=-26.88 pbc="T T T"
P 0.000 0.000 0.000
Pt 0.000 0.000 3.329
Rh 1.825 1.825 0.000
O 0.000 1.825 3.329
O 1.825 0.000 3.329


5
Lattice="5.660 0.000 0.000 0.000 5.660 0.000 0.000 0.000 5.660" Properties=species:S:1:pos:R:3 comment="Ca3TiGe, relaxed, DFT PBE" e_above_lowest_polymorph_mev_per_atom=0 rho_g_cm3=2.2 space_group="Pm-3m, No. 221" energy_ev_per_cell=-16.28 ef_ev_per_atom=0.45 pbc="T T T"
Ca 0.000 0.000 2.830
Ca 0.000 2.830 0.000
Ca 2.830 0.000 0.000
Ti 2.830 2.830 2.830
Ge 0.000 0.000 0.000


5
Lattice="5.307 0.000 0.000 0.000 5.307 0.000 0.000 0.000 5.307" Properties=species:S:1:pos:R:3 comment="Hg3RhI, relaxed, DFT PBE" raw_formation_energy_ev_per_fu=0.87 e_above_lowest_polymorph_mev_per_atom=0 rho_g_cm3=9.2 space_group="Pm-3m, No. 221" energy_ev_per_cell=-8.94 pbc="T T T"
Hg 0.000 0.000 2.653
Hg 0.000 2.653 0.000
Hg 2.653 0.000 0.000
Rh 0.000 0.000 0.000
I 2.653 2.653 2.653


8
Lattice="0.000 6.188 6.188 6.188 0.000 6.188 6.188 6.188 0.000" Properties=species:S:1:pos:R:3 comment="RbPuBr6, relaxed, DFT PBE" raw_formation_energy_ev_per_fu=-9.72 e_above_lowest_polymorph_mev_per_atom=32 rho_g_cm3=2.8 space_group="Fm-3m, No. 225" energy_ev_per_cell=-35.05 pbc="T T T"
Rb 0.000 0.000 0.000
Pu 6.188 6.188 6.188
Br 6.188 6.188 3.495
Br 6.188 3.495 6.188
Br 8.882 6.188 6.188
Br 3.495 6.188 6.188
Br 6.188 8.882 6.188
Br 6.188 6.188 8.882